Below is a geometry-optimized AcTb2In3 structure, with properties calculated at the PBE-GGA level.

Cell lengths 3.8608, 3.8608, 11.7872 Å; angles 90.00, 90.00, 90.00 degrees
Space group P4/mmm (No. 123)
Inequivalent atoms, fractional coordinates:
Ac 0.0000 0.0000 0.0000 [1 per cell]
Tb 0.0000 0.0000 0.3441 [2 per cell]
In 0.5000 0.5000 0.1919 [2 per cell]
In 0.5000 0.5000 0.5000 [1 per cell]

E_form in eV per atom: -0.45
DFT total energy in eV for the cell shown: -24.31